# 1
5
Lattice="-0.760 1.392 -5.499 0.995 -5.430 -1.512 -5.301 -1.098 0.455" Properties=species:S:1:pos:R:3 comment="TlSiTeI2 (PBE, relaxed)" e_form_raw_mev_per_atom=-45 polymorph_energy_mev_per_atom=0 dos_ef_per_ev_cell=5.4 pbc="T T T"
I 0.497 -2.715 -0.756
I -0.380 0.696 -2.750
Tl -2.533 -2.568 -3.278
Te -2.651 -0.549 0.227
Si 0.000 0.000 0.000

# 2
5
Lattice="-2.140 -3.600 -3.473 -2.084 -2.792 4.179 -4.483 2.931 -0.276" Properties=species:S:1:pos:R:3 comment="VSiTeI2 (PBE, relaxed)" e_form_raw_mev_per_atom=511 polymorph_energy_mev_per_atom=0 dos_ef_per_ev_cell=3.1 pbc="T T T"
I -1.042 -1.396 2.089
I -1.070 -1.800 -1.736
Si -4.353 -1.730 0.215
Te -2.241 1.466 -0.138
V 0.000 0.000 0.000

# 3
5
Lattice="5.466 0.000 0.000 0.000 5.466 0.000 0.000 0.000 5.497" Properties=species:S:1:pos:R:3 comment="VSiTeI2 (PBE, relaxed)" e_form_raw_mev_per_atom=690 polymorph_energy_mev_per_atom=179 dos_ef_per_ev_cell=3.4 pbc="T T T"
I 0.000 2.733 0.000
I 2.733 0.000 0.000
Si 0.000 0.000 0.000
Te 0.000 0.000 2.748
V 2.733 2.733 2.748

# 4
5
Lattice="5.308 0.000 0.000 0.000 5.308 0.000 0.000 0.000 5.216" Properties=species:S:1:pos:R:3 comment="SiTe2WI (PBE, relaxed)" e_form_raw_mev_per_atom=1407 polymorph_energy_mev_per_atom=404 dos_ef_per_ev_cell=4.2 pbc="T T T"
I 0.000 0.000 2.608
Si 0.000 0.000 0.000
Te 0.000 2.654 0.000
Te 2.654 0.000 0.000
W 2.654 2.654 2.608

Number 2 is which compound?
VSiTeI2